Entry 1:
Compound: PaInGe2
Source: Alexandria via LeMat-Bulk
Functional: PBE-GGA
Structure: optimized geometry

Cell lengths 4.5772, 4.5772, 4.0585 Å; angles 90.00, 90.00, 90.00 degrees
Closest atoms and distances in Å follow each position.
Fractional positions:
Pa 0.0000 0.0000 0.0000  8 Ge 3.06, 4 In 3.24
In 0.5000 0.5000 0.0000  8 Ge 3.06, 4 Pa 3.24
Ge 0.0000 0.5000 0.5000  4 In 3.06, 4 Pa 3.06, 4 Ge 3.24
Ge 0.5000 0.0000 0.5000  4 In 3.06, 4 Pa 3.06, 4 Ge 3.24

Values from the calculation:
ΔE_f ... -138.6 kJ/mol of formula units
Energy above the most stable polymorph in this dataset ... 0.000 eV/atom

Entry 2:
Compound: NdDy2Sc
Source: Alexandria via LeMat-Bulk
Functional: PBE-GGA
Structure: optimized geometry

Cell lengths 11.5016, 11.5016, 11.5016 Å; angles 17.68, 17.68, 17.68 degrees
Closest atoms and distances in Å follow each position.
Fractional positions:
Nd 0.0000 0.0000 0.0000  6 Nd 3.53, 6 Dy 3.60-3.62
Dy 0.2459 0.2459 0.2459  3 Sc 3.36, 6 Dy 3.53, 3 Nd 3.60
Dy 0.4213 0.4213 0.4213  3 Sc 3.38, 6 Dy 3.53, 3 Nd 3.62
Sc 0.8340 0.8340 0.8340  6 Dy 3.36-3.38, 6 Sc 3.53

Values from the calculation:
ΔE_f ... 18.2 kJ/mol of formula units
Energy above the most stable polymorph in this dataset ... 0.005 eV/atom

Entry 3:
Compound: Zr2AlCu8
Source: Alexandria via LeMat-Bulk
Functional: PBE-GGA
Structure: optimized geometry

Cell lengths 4.0724, 4.0724, 10.1533 Å; angles 90.00, 90.00, 90.00 degrees
Closest atoms and distances in Å follow each position.
Fractional positions:
Zr 0.0000 0.0000 0.1832  12 Cu 2.72-2.88
Zr 0.0000 0.0000 0.8168  12 Cu 2.72-2.88
Al 0.0000 0.0000 0.5000  8 Cu 2.48
Cu 0.0000 0.5000 0.0000  8 Cu 2.70-2.88, 4 Zr 2.76
Cu 0.0000 0.5000 0.3609  2 Al 2.48, 2 Zr 2.72
Cu 0.0000 0.5000 0.6391  2 Al 2.48, 2 Zr 2.72
Cu 0.5000 0.0000 0.0000  8 Cu 2.70-2.88, 4 Zr 2.76
Cu 0.5000 0.0000 0.3609  2 Al 2.48, 2 Zr 2.72
Cu 0.5000 0.0000 0.6391  2 Al 2.48, 2 Zr 2.72
Cu 0.5000 0.5000 0.1747  8 Cu 2.70-2.78, 4 Zr 2.88
Cu 0.5000 0.5000 0.8253  8 Cu 2.70-2.78, 4 Zr 2.88

Values from the calculation:
ΔE_f ... 88.1 kJ/mol of formula units

Entry 4:
Compound: LiAs2BrN
Source: Alexandria via LeMat-Bulk
Functional: PBE-GGA
Structure: optimized geometry

Cell lengths 4.0872, 4.0872, 8.2640 Å; angles 90.00, 90.00, 90.00 degrees
Closest atoms and distances in Å follow each position.
Fractional positions:
Li 0.0000 0.0000 0.0000  4 Br 2.89
As 0.0000 0.5000 0.5000  2 N 2.04
As 0.5000 0.0000 0.5000  2 N 2.04
Br 0.5000 0.5000 0.0000  4 Li 2.89
N 0.5000 0.5000 0.5000  4 As 2.04

Values from the calculation:
Formation energy without anion corrections ... 0.35 eV/atom
Energy above the most stable polymorph in this dataset ... 0.000 eV/atom

Entry 5:
Compound: GeAsW3
Source: Alexandria via LeMat-Bulk
Functional: PBE-GGA
Structure: optimized geometry

Cell lengths 4.6207, 4.6207, 4.6207 Å; angles 90.00, 90.00, 90.00 degrees
Closest atoms and distances in Å follow each position.
Fractional positions:
Ge 0.0000 0.0000 0.0000  12 W 3.27
As 0.5000 0.5000 0.5000  6 W 2.31
W 0.0000 0.5000 0.5000  2 As 2.31
W 0.5000 0.0000 0.5000  2 As 2.31
W 0.5000 0.5000 0.0000  2 As 2.31

Values from the calculation:
ΔE_f ... 818.7 kJ/mol of formula units
Energy above the most stable polymorph in this dataset ... 0.000 eV/atom

For the records above, the corresponding raw total energy values read -5.73 -5.03 -4.79 -3.89 -7.93 eV per atom.